(1)
The following is a DFT calculation (PBE-GGA) of PrSm12Y5 after structural relaxation.

Cell lengths 15.3333, 15.3504, 5.1176 Å; angles 90.00, 90.00, 90.00 degrees
Closest atoms and distances in Å follow each position.
Space group Cmmm (No. 65)
Inequivalent atoms, fractional coordinates:
Pr1 0.0000 0.0000 0.0000 (multiplicity 2)  8 Sm 3.63, 4 Y 3.63
Sm1 0.1663 0.3336 0.5000 (multiplicity 8)  4 Y 3.60-3.61, 8 Sm 3.61-3.63
Sm2 0.1661 0.5000 0.0000 (multiplicity 4)  4 Y 3.61, 8 Sm 3.61-3.62
Sm3 0.1672 0.1672 0.0000 (multiplicity 8)  8 Sm 3.59-3.62, 3 Y 3.62, 1 Pr 3.63
Sm4 0.1677 0.0000 0.5000 (multiplicity 4)  8 Sm 3.61-3.62, 2 Pr 3.63, 2 Y 3.64
Y1 0.0000 0.1677 0.5000 (multiplicity 4)  8 Sm 3.60-3.64, 2 Y 3.61, 2 Pr 3.63
Y2 0.0000 0.3335 0.0000 (multiplicity 4)  8 Sm 3.61-3.62, 4 Y 3.61-3.62
Y3 0.0000 0.5000 0.5000 (multiplicity 2)  8 Sm 3.61, 4 Y 3.62

## Properties
* E: -5.1909 eV per atom
* total magnetic moment: 0.00 μB/f.u.
* density: 6.6 g/cm3
* crystal system: orthorhombic
* N(E_F): 53.249 states/eV per cell

=====

(2)
The following is a DFT calculation (PBE-GGA) of K2AgPtN after structural relaxation.

Cell lengths 6.0387, 6.0387, 3.7223 Å; angles 90.00, 90.00, 90.00 degrees
Closest atoms and distances in Å follow each position.
Space group P4/mmm (No. 123)
Inequivalent atoms, fractional coordinates:
K1 0.0000 0.5000 0.0000 (multiplicity 2)  2 N 3.02
Ag1 0.0000 0.0000 0.5000 (multiplicity 1)  8 K 3.55, 2 Ag 3.72
Pt1 0.5000 0.5000 0.5000 (multiplicity 1)  2 N 1.86
N1 0.5000 0.5000 0.0000 (multiplicity 1)  2 Pt 1.86

## Properties
* total magnetic moment: 0.00 μB/f.u.
* density: 4.8 g/cm3
* crystal system: tetragonal
* energy relative to the lowest polymorph listed for this composition: 0 kJ/mol of formula units
* N(E_F): 3.150 states/eV per cell
* E_form (uncorrected): -50 meV per atom

=====

(3)
The following is a DFT calculation (PBE-GGA) of Ca2AcTm after structural relaxation.

Cell lengths 3.6933, 3.6933, 40.2894 Å; angles 90.00, 90.00, 120.00 degrees
Closest atoms and distances in Å follow each position.
Space group R-3m (No. 166, hexagonal axes)
Inequivalent atoms, fractional coordinates:
Ca1 0.0000 0.0000 0.0846 (multiplicity 6)  1 Tm 3.41, 6 Ca 3.69
Ac1 0.0000 0.0000 0.5000 (multiplicity 3)  6 Ac 3.69, 6 Ca 3.93
Tm1 0.0000 0.0000 0.0000 (multiplicity 3)  2 Ca 3.41, 6 Tm 3.69

## Properties
* total magnetic moment: 0.53 μB/f.u.
* density: 5.0 g/cm3
* crystal system: trigonal
* energy relative to the lowest polymorph listed for this composition: 61 kJ/mol of formula units
* N(E_F): 16.152 states/eV per cell

=====

(4)
The following is a DFT calculation (PBE-GGA) of YTe2Pb after structural relaxation.

Cell lengths 7.8108, 7.8108, 7.8108 Å; angles 90.00, 90.00, 90.00 degrees
Closest atoms and distances in Å follow each position.
Space group F-43m (No. 216)
Inequivalent atoms, fractional coordinates:
Y1 0.0000 0.0000 0.0000 (multiplicity 4)  4 Te 3.38, 4 Pb 3.38
Te1 0.0000 0.0000 0.5000 (multiplicity 4)  4 Pb 3.38, 4 Te 3.38
Te2 0.2500 0.2500 0.2500 (multiplicity 4)  4 Te 3.38, 4 Y 3.38
Pb1 0.2500 0.2500 0.7500 (multiplicity 4)  4 Te 3.38, 4 Y 3.38

## Properties
* total magnetic moment: 0.00 μB/f.u.
* density: 7.7 g/cm3
* crystal system: cubic
* N(E_F): 17.101 states/eV per cell
* E_form (uncorrected): -221 meV per atom

=====

(5)
The following is a DFT calculation (PBE-GGA) of SrTlIr3 after structural relaxation.

Cell lengths 5.0514, 5.0514, 5.0514 Å; angles 90.00, 90.00, 90.00 degrees
Closest atoms and distances in Å follow each position.
Space group Pm-3m (No. 221)
Inequivalent atoms, fractional coordinates:
Sr1 0.0000 0.0000 0.0000 (multiplicity 1)  12 Ir 3.57
Tl1 0.5000 0.5000 0.5000 (multiplicity 1)  6 Ir 2.53
Ir1 0.0000 0.5000 0.5000 (multiplicity 3)  2 Tl 2.53

## Properties
* total magnetic moment: 1.71 μB/f.u.
* density: 11.2 g/cm3
* crystal system: cubic
* energy relative to the lowest polymorph listed for this composition: 0 kJ/mol of formula units
* N(E_F): 6.359 states/eV per cell

=====

(6)
The following is a DFT calculation (PBE-GGA) of Nd4AlI5 after structural relaxation.

Cell lengths 19.8240, 4.3253, 9.1924 Å; angles 90.00, 102.57, 90.00 degrees
Closest atoms and distances in Å follow each position.
Space group C2/m (No. 12)
Inequivalent atoms, fractional coordinates:
Nd1 0.0000 0.0000 0.2248 (multiplicity 4)  2 Al 2.99, 4 I 3.24-3.34
Nd2 0.1504 0.5000 0.0765 (multiplicity 4)  1 Al 2.91, 4 I 3.19-3.24
Al1 0.0000 0.5000 0.0000 (multiplicity 2)  6 Nd 2.91-2.99
I1 0.0000 0.5000 0.5000 (multiplicity 2)  4 Nd 3.33
I2 0.1670 0.0000 0.3371 (multiplicity 4)  3 Nd 3.19-3.24
I3 0.1719 0.0000 0.8283 (multiplicity 4)  4 Nd 3.24-3.44

## Properties
* total magnetic moment: 0.00 μB/f.u.
* density: 5.3 g/cm3
* crystal system: monoclinic
* N(E_F): 9.387 states/eV per cell
* E_form (uncorrected): -1083 meV per atom

=====

(7)
The following is a DFT calculation (PBE-GGA) of Ba3ErRh2O9 after structural relaxation.

Cell lengths 5.8671, 5.8671, 7.2082 Å; angles 90.00, 90.00, 120.00 degrees
Closest atoms and distances in Å follow each position.
Space group P-3m1 (No. 164)
Inequivalent atoms, fractional coordinates:
Ba1 0.0000 0.0000 0.0000 (multiplicity 1)  12 O 2.92-2.93
Ba2 0.3333 0.6667 0.6752 (multiplicity 2)  12 O 2.89-3.01
Er1 0.0000 0.0000 0.5000 (multiplicity 1)  6 O 2.20
Rh1 0.3333 0.6667 0.1615 (multiplicity 2)  6 O 1.98-2.06
O1 0.0000 0.5000 0.0000 (multiplicity 3)  2 Rh 2.06
O2 0.1753 0.3507 0.3216 (multiplicity 6)  1 Rh 1.98, 1 Er 2.20

## Properties
* total magnetic moment: 3.08 μB/f.u.
* density: 7.2 g/cm3
* crystal system: trigonal
* N(E_F): 5.172 states/eV per cell
* E_form (uncorrected): -2050 meV per atom

=====

(8)
The following is a DFT calculation (PBE-GGA) of Cs6AgPd after structural relaxation.

Cell lengths 5.1277, 15.2438, 15.8679 Å; angles 90.00, 90.00, 90.00 degrees
Closest atoms and distances in Å follow each position.
Space group Amm2 (No. 38)
Inequivalent atoms, fractional coordinates:
Cs1 0.0000 0.0000 0.0000 (multiplicity 2)  10 Cs 5.13-5.51
Cs2 0.0000 0.1382 0.6792 (multiplicity 4)  1 Ag 3.78, 2 Pd 4.06, 1 Cs 4.21
Cs3 0.5000 0.0000 0.2865 (multiplicity 2)  1 Pd 3.88, 2 Ag 4.02, 2 Cs 4.14
Cs4 0.5000 0.2086 0.4536 (multiplicity 4)  1 Pd 3.41
Ag1 0.0000 0.0000 0.4817 (multiplicity 2)  2 Pd 2.68
Pd1 0.5000 0.0000 0.5313 (multiplicity 2)  2 Ag 2.68

## Properties
* E: -1.6069 eV per atom
* total magnetic moment: 0.00 μB/f.u.
* density: 2.7 g/cm3
* crystal system: orthorhombic
* N(E_F): 10.791 states/eV per cell

=====

(9)
The following is a DFT calculation (PBE-GGA) of AlCdOs2 after structural relaxation.

Cell lengths 6.2649, 6.2649, 6.2649 Å; angles 90.00, 90.00, 90.00 degrees
Closest atoms and distances in Å follow each position.
Space group Fm-3m (No. 225)
Inequivalent atoms, fractional coordinates:
Al1 0.0000 0.0000 0.0000 (multiplicity 4)  8 Os 2.71
Cd1 0.0000 0.0000 0.5000 (multiplicity 4)  8 Os 2.71
Os1 0.2500 0.2500 0.2500 (multiplicity 8)  4 Cd 2.71, 4 Al 2.71

## Properties
* total magnetic moment: 0.00 μB/f.u.
* density: 14.0 g/cm3
* crystal system: cubic
* energy relative to the lowest polymorph listed for this composition: 130 kJ/mol of formula units
* N(E_F): 16.111 states/eV per cell

=====

(10)
The following is a DFT calculation (PBE-GGA) of NbPdRu2 after structural relaxation.

Cell lengths 6.2693, 6.2693, 6.2693 Å; angles 90.00, 90.00, 90.00 degrees
Closest atoms and distances in Å follow each position.
Space group Fm-3m (No. 225)
Inequivalent atoms, fractional coordinates:
Nb1 0.0000 0.0000 0.0000 (multiplicity 4)  8 Ru 2.71
Pd1 0.0000 0.0000 0.5000 (multiplicity 4)  8 Ru 2.71
Ru1 0.2500 0.2500 0.2500 (multiplicity 8)  4 Nb 2.71, 4 Pd 2.71

## Properties
* total magnetic moment: 0.00 μB/f.u.
* density: 10.8 g/cm3
* crystal system: cubic
* energy relative to the lowest polymorph listed for this composition: 97 kJ/mol of formula units
* N(E_F): 17.825 states/eV per cell